1.
PmTmAgIr | PBE | optimized geometry

```
data_PmTmAgIr
_cell_length_a 7.083
_cell_length_b 7.083
_cell_length_c 7.083
_cell_angle_alpha 90.00
_cell_angle_beta 90.00
_cell_angle_gamma 90.00
_space_group_name_H-M_alt 'F -4 3 m'
_space_group_IT_number 216
_space_group_name_Hall 'F -4 2 3'
loop_
_atom_site_label
_atom_site_fract_x
_atom_site_fract_y
_atom_site_fract_z
Pm1 0.000 0.000 0.000
Tm1 0.000 0.000 0.500
Ag1 0.250 0.250 0.250
Ir1 0.250 0.250 0.750
```

energy of formation from the pure elements: -0.548 eV/atom

=====

2.
Cd3Ag5Cl12 | PBE | optimized geometry

```
data_Cd3Ag5Cl12
_cell_length_a 16.746
_cell_length_b 16.746
_cell_length_c 16.746
_cell_angle_alpha 90.00
_cell_angle_beta 90.00
_cell_angle_gamma 90.00
_space_group_name_H-M_alt 'I a -3 d'
_space_group_IT_number 230
_space_group_name_Hall '-I 4bd 2c 3'
loop_
_atom_site_label
_atom_site_fract_x
_atom_site_fract_y
_atom_site_fract_z
Cd1 0.000 0.250 0.125
Ag1 0.000 0.000 0.000
Ag2 0.000 0.250 0.375
Cl1 0.007 0.015 0.344
```

raw formation energy: -615 meV per atom

=====

3.
PaSi2IrPt2 | PBE | optimized geometry

```
data_PaSi2IrPt2
_cell_length_a 3.940
_cell_length_b 3.940
_cell_length_c 15.200
_cell_angle_alpha 90.00
_cell_angle_beta 90.00
_cell_angle_gamma 90.00
_space_group_name_H-M_alt 'I 4/m m m'
_space_group_IT_number 139
_space_group_name_Hall '-I 4 2'
loop_
_atom_site_label
_atom_site_fract_x
_atom_site_fract_y
_atom_site_fract_z
Pa1 0.000 0.000 0.000
Si1 0.000 0.000 0.345
Ir1 0.000 0.000 0.500
Pt1 0.000 0.500 0.250
```

raw formation energy: -642 meV per atom

=====

4.
NaGeH | PBE | optimized geometry

```
data_NaGeH
_cell_length_a 3.167
_cell_length_b 3.167
_cell_length_c 10.416
_cell_angle_alpha 90.00
_cell_angle_beta 90.00
_cell_angle_gamma 90.00
_space_group_name_H-M_alt 'I 4 m m'
_space_group_IT_number 107
_space_group_name_Hall 'I 4 -2'
loop_
_atom_site_label
_atom_site_fract_x
_atom_site_fract_y
_atom_site_fract_z
Na1 0.000 0.000 0.000
Ge1 0.000 0.000 0.283
H1 0.000 0.000 0.447
```

=====

5.
Tb3Cd2Ga4 | PBE | optimized geometry

```
data_Tb3Cd2Ga4
_cell_length_a 10.806
_cell_length_b 4.548
_cell_length_c 8.750
_cell_angle_alpha 90.00
_cell_angle_beta 111.30
_cell_angle_gamma 90.00
_space_group_name_H-M_alt 'C 1 2/m 1'
_space_group_IT_number 12
_space_group_name_Hall '-C 2y'
loop_
_atom_site_label
_atom_site_fract_x
_atom_site_fract_y
_atom_site_fract_z
Tb1 0.000 0.000 0.000
Tb2 0.170 0.500 0.667
Cd1 0.103 0.500 0.271
Ga1 0.072 0.000 0.415
Ga2 0.201 0.500 0.026
```

energy of formation from the pure elements: -0.520 eV/atom

=====

6.
TiTcW | PBE | optimized geometry

```
data_TiTcW
_cell_length_a 4.3793
_cell_length_b 4.3793
_cell_length_c 2.7923
_cell_angle_alpha 90.00
_cell_angle_beta 90.00
_cell_angle_gamma 120.00
_space_group_name_H-M_alt 'P 3 m 1'
_space_group_IT_number 156
_space_group_name_Hall 'P 3 -2"'
loop_
_atom_site_label
_atom_site_fract_x
_atom_site_fract_y
_atom_site_fract_z
Ti1 0.0000 0.0000 0.0000
Tc1 0.3333 0.6667 0.3231
W1 0.6667 0.3333 0.6339
```

energy of formation from the pure elements: -0.221 eV/atom

=====

7.
BaRu4 | PBE | optimized geometry

```
data_BaRu4
_cell_length_a 6.030
_cell_length_b 6.030
_cell_length_c 6.030
_cell_angle_alpha 90.00
_cell_angle_beta 90.00
_cell_angle_gamma 90.00
_space_group_name_H-M_alt 'I m -3 m'
_space_group_IT_number 229
_space_group_name_Hall '-I 4 2 3'
loop_
_atom_site_label
_atom_site_fract_x
_atom_site_fract_y
_atom_site_fract_z
Ba1 0.000 0.000 0.000
Ru1 0.250 0.250 0.250
```

energy of formation from the pure elements: 2.528 eV/atom

=====

8.
Tb2Al4AgPd3 | PBE | optimized geometry

```
data_Tb2Al4AgPd3
_cell_length_a 4.185
_cell_length_b 4.185
_cell_length_c 10.898
_cell_angle_alpha 90.00
_cell_angle_beta 90.00
_cell_angle_gamma 90.00
_space_group_name_H-M_alt 'P -4 m 2'
_space_group_IT_number 115
_space_group_name_Hall 'P -4 -2'
loop_
_atom_site_label
_atom_site_fract_x
_atom_site_fract_y
_atom_site_fract_z
Tb1 0.000 0.500 0.240
Al1 0.000 0.000 0.000
Al2 0.000 0.500 0.638
Al3 0.500 0.500 0.000
Ag1 0.000 0.000 0.500
Pd1 0.000 0.500 0.866
Pd2 0.500 0.500 0.500
```

energy of formation from the pure elements: -0.733 eV/atom

=====

9.
Ce6MgCd2 | PBE | optimized geometry

```
data_Ce6MgCd2
_cell_length_a 9.1924
_cell_length_b 9.1924
_cell_length_c 3.0000
_cell_angle_alpha 90.00
_cell_angle_beta 90.00
_cell_angle_gamma 120.00
_space_group_name_H-M_alt 'P 6/m m m'
_space_group_IT_number 191
_space_group_name_Hall '-P 6 2'
loop_
_atom_site_label
_atom_site_fract_x
_atom_site_fract_y
_atom_site_fract_z
Ce1 0.0000 0.3311 0.0000
Mg1 0.0000 0.0000 0.5000
Cd1 0.3333 0.6667 0.5000
```

energy of formation from the pure elements: -0.043 eV/atom

=====

10.
ErPuAg | PBE | optimized geometry

```
data_ErPuAg
_cell_length_a 3.670
_cell_length_b 16.225
_cell_length_c 4.983
_cell_angle_alpha 90.00
_cell_angle_beta 90.00
_cell_angle_gamma 90.00
_space_group_name_H-M_alt 'C m c m'
_space_group_IT_number 63
_space_group_name_Hall '-C 2c 2'
loop_
_atom_site_label
_atom_site_fract_x
_atom_site_fract_y
_atom_site_fract_z
Er1 0.000 0.078 0.250
Pu1 0.000 0.240 0.750
Ag1 0.000 0.421 0.250
```

energy of formation from the pure elements: -0.058 eV/atom

=====

11.
Rb2Na2Te | PBE | optimized geometry

```
data_Rb2Na2Te
_cell_length_a 8.508
_cell_length_b 8.508
_cell_length_c 6.135
_cell_angle_alpha 90.00
_cell_angle_beta 90.00
_cell_angle_gamma 90.00
_space_group_name_H-M_alt 'P 4/m b m'
_space_group_IT_number 127
_space_group_name_Hall '-P 4 2ab'
loop_
_atom_site_label
_atom_site_fract_x
_atom_site_fract_y
_atom_site_fract_z
Rb1 0.195 0.305 0.000
Na1 0.142 0.642 0.500
Te1 0.000 0.000 0.500
```

raw formation energy: -401 meV per atom

=====

12.
ThCuPd6 | PBE | optimized geometry

```
data_ThCuPd6
_cell_length_a 8.160
_cell_length_b 5.411
_cell_length_c 7.349
_cell_angle_alpha 90.00
_cell_angle_beta 110.51
_cell_angle_gamma 90.00
_space_group_name_H-M_alt 'C 1 2/m 1'
_space_group_IT_number 12
_space_group_name_Hall '-C 2y'
loop_
_atom_site_label
_atom_site_fract_x
_atom_site_fract_y
_atom_site_fract_z
Th1 0.000 0.000 0.000
Cu1 0.000 0.500 0.500
Pd1 0.147 0.000 0.439
Pd2 0.187 0.245 0.790
```

energy of formation from the pure elements: -0.238 eV/atom

=====

13.
NbV5C3 | PBE | optimized geometry

```
data_NbV5C3
_cell_length_a 9.251
_cell_length_b 6.707
_cell_length_c 7.608
_cell_angle_alpha 90.00
_cell_angle_beta 115.72
_cell_angle_gamma 90.00
_space_group_name_H-M_alt 'C 1 2/m 1'
_space_group_IT_number 12
_space_group_name_Hall '-C 2y'
loop_
_atom_site_label
_atom_site_fract_x
_atom_site_fract_y
_atom_site_fract_z
Nb1 0.105 0.000 0.306
V1 0.000 0.300 0.000
V2 0.070 0.500 0.365
V3 0.164 0.201 0.675
V4 0.237 0.000 0.030
C1 0.000 0.000 0.000
C2 0.000 0.000 0.500
C3 0.155 0.500 0.668
C4 0.167 0.500 0.166
```

energy of formation from the pure elements: -0.393 eV/atom

=====

14.
K2InAu | PBE | optimized geometry

```
data_K2InAu
_cell_length_a 3.890
_cell_length_b 3.890
_cell_length_c 9.824
_cell_angle_alpha 90.00
_cell_angle_beta 90.00
_cell_angle_gamma 90.00
_space_group_name_H-M_alt 'P 4 m m'
_space_group_IT_number 99
_space_group_name_Hall 'P 4 -2'
loop_
_atom_site_label
_atom_site_fract_x
_atom_site_fract_y
_atom_site_fract_z
K1 0.000 0.000 0.000
K2 0.500 0.500 0.404
In1 0.500 0.500 0.750
Au1 0.000 0.000 0.643
```

energy of formation from the pure elements: -0.149 eV/atom

=====

15.
LiTm3Ga3 | PBE | optimized geometry

```
data_LiTm3Ga3
_cell_length_a 10.665
_cell_length_b 4.325
_cell_length_c 14.119
_cell_angle_alpha 90.00
_cell_angle_beta 110.06
_cell_angle_gamma 90.00
_space_group_name_H-M_alt 'C 1 2/m 1'
_space_group_IT_number 12
_space_group_name_Hall '-C 2y'
loop_
_atom_site_label
_atom_site_fract_x
_atom_site_fract_y
_atom_site_fract_z
Li1 0.242 0.000 0.404
Tm1 0.032 0.500 0.379
Tm2 0.103 0.500 0.923
Tm3 0.241 0.500 0.222
Ga1 0.031 0.000 0.231
Ga2 0.113 0.000 0.074
Ga3 0.125 0.000 0.552
```

energy of formation from the pure elements: -0.502 eV/atom

=====

16.
NaPa2Cl8 | PBE | optimized geometry

```
data_NaPa2Cl8
_cell_length_a 13.142
_cell_length_b 6.429
_cell_length_c 8.020
_cell_angle_alpha 90.00
_cell_angle_beta 109.80
_cell_angle_gamma 90.00
_space_group_name_H-M_alt 'C 1 2/m 1'
_space_group_IT_number 12
_space_group_name_Hall '-C 2y'
loop_
_atom_site_label
_atom_site_fract_x
_atom_site_fract_y
_atom_site_fract_z
Na1 0.000 0.000 0.000
Pa1 0.133 0.000 0.574
Cl1 0.003 0.246 0.708
Cl2 0.217 0.500 0.122
Cl3 0.229 0.500 0.612
```

raw formation energy: -1728 meV per atom

=====

17.
TbAl3Ag10 | PBE | optimized geometry

```
data_TbAl3Ag10
_cell_length_a 13.046
_cell_length_b 13.046
_cell_length_c 13.046
_cell_angle_alpha 90.00
_cell_angle_beta 90.00
_cell_angle_gamma 90.00
_space_group_name_H-M_alt 'F m -3 m'
_space_group_IT_number 225
_space_group_name_Hall '-F 4 2 3'
loop_
_atom_site_label
_atom_site_fract_x
_atom_site_fract_y
_atom_site_fract_z
Tb1 0.250 0.250 0.250
Al1 0.000 0.000 0.237
Ag1 0.000 0.174 0.326
Ag2 0.118 0.118 0.118
```

energy of formation from the pure elements: 0.030 eV/atom

=====

18.
MnCr | PBE | optimized geometry

```
data_MnCr
_cell_length_a 6.728
_cell_length_b 6.728
_cell_length_c 6.728
_cell_angle_alpha 90.00
_cell_angle_beta 90.00
_cell_angle_gamma 90.00
_space_group_name_H-M_alt 'P m -3 n'
_space_group_IT_number 223
_space_group_name_Hall '-P 4n 2 3'
loop_
_atom_site_label
_atom_site_fract_x
_atom_site_fract_y
_atom_site_fract_z
Mn1 0.000 0.250 0.500
Cr1 0.000 0.500 0.250
```

energy of formation from the pure elements: 1.698 eV/atom

=====

19.
La2Tb7Ho4 | PBE | optimized geometry

```
data_La2Tb7Ho4
_cell_length_a 6.1045
_cell_length_b 6.1045
_cell_length_c 13.3185
_cell_angle_alpha 90.00
_cell_angle_beta 90.00
_cell_angle_gamma 120.00
_space_group_name_H-M_alt 'P -3 1 m'
_space_group_IT_number 162
_space_group_name_Hall '-P 3 2'
loop_
_atom_site_label
_atom_site_fract_x
_atom_site_fract_y
_atom_site_fract_z
La1 0.3333 0.6667 0.0000
Tb1 0.0000 0.0000 0.0000
Tb2 0.0000 0.3583 0.7811
Ho1 0.0000 0.0000 0.3948
Ho2 0.3333 0.6667 0.5000
```

energy of formation from the pure elements: 0.189 eV/atom

=====

| no. | V (Å³/atom) | energy (eV per cell) |
| --- | --- | --- |
| 1 | 22.21 | -92.505 |
| 2 | 29.35 | -411.756 |
| 3 | 19.67 | -90.277 |
| 4 | 17.41 | -17.949 |
| 5 | 22.26 | -65.008 |
| 6 | 15.46 | -31.876 |
| 7 | 21.92 | -52.768 |
| 8 | 19.09 | -49.988 |
| 9 | 24.39 | -39.419 |
| 10 | 24.73 | -87.679 |
| 11 | 44.42 | -19.442 |
| 12 | 18.99 | -89.151 |
| 13 | 11.81 | -347.500 |
| 14 | 37.17 | -8.808 |
| 15 | 21.85 | -111.681 |
| 16 | 28.98 | -108.192 |
| 17 | 19.82 | -351.550 |
| 18 | 25.38 | -92.383 |
| 19 | 33.06 | -58.118 |